1.
Here is DyGaRuRh after structural relaxation from Alexandria via LeMat-Bulk. Energies are from PBE.

- Space group: F-43m (216)
- DFT formation energy: -0.54 eV/atom
- Crystal system: cubic

Lattice parameters (Å, degrees): 4.5531 4.5531 4.5531 60.00 60.00 60.00
Element x y z (fractional)
Dy (0.0000, 0.0000, 0.0000)
Ga (0.5000, 0.5000, 0.5000)
Ru (0.7500, 0.7500, 0.7500)
Rh (0.2500, 0.2500, 0.2500)

2.
Here is Dy2Ga5RuRh2 after structural relaxation from Alexandria via LeMat-Bulk. Energies are from PBE.

- Space group: P4/mbm (127)
- DFT formation energy: -0.55 eV/atom
- Crystal system: tetragonal

Lattice parameters (Å, degrees): 9.4732 9.4732 3.9275 90.00 90.00 90.00
Element x y z (fractional)
Dy (0.1804, 0.3196, 0.0000)
Dy (0.3196, 0.8196, 0.0000)
Dy (0.6804, 0.1804, 0.0000)
Dy (0.8196, 0.6804, 0.0000)
Ga (0.0000, 0.5000, 0.5000)
Ga (0.0550, 0.8053, 0.5000)
Ga (0.1947, 0.0550, 0.5000)
Ga (0.3053, 0.5550, 0.5000)
Ga (0.4450, 0.3053, 0.5000)
Ga (0.5000, 0.0000, 0.5000)
Ga (0.5550, 0.6947, 0.5000)
Ga (0.6947, 0.4450, 0.5000)
Ga (0.8053, 0.9450, 0.5000)
Ga (0.9450, 0.1947, 0.5000)
Ru (0.0000, 0.0000, 0.0000)
Ru (0.5000, 0.5000, 0.0000)
Rh (0.1184, 0.6184, 0.0000)
Rh (0.3816, 0.1184, 0.0000)
Rh (0.6184, 0.8816, 0.0000)
Rh (0.8816, 0.3816, 0.0000)

3.
Here is DyGa2RuRh after structural relaxation from Alexandria via LeMat-Bulk. Energies are from PBE.

- Space group: I-4m2 (119)
- DFT formation energy: -0.62 eV/atom
- Crystal system: tetragonal

Lattice parameters (Å, degrees): 5.6769 5.6769 5.6769 134.82 134.82 65.80
Element x y z (fractional)
Dy (0.0000, 0.0000, 0.0000)
Ga (0.3681, 0.3681, 0.0000)
Ga (0.6319, 0.6319, 0.0000)
Ru (0.7500, 0.2500, 0.5000)
Rh (0.2500, 0.7500, 0.5000)

4.
Here is DyGa4RuRh2 after structural relaxation from Alexandria via LeMat-Bulk. Energies are from PBE.

- Space group: R-3m (166)
- DFT formation energy: -0.63 eV/atom
- Crystal system: trigonal

Lattice parameters (Å, degrees): 8.8682 8.8682 8.8682 27.61 27.61 27.61
Element x y z (fractional)
Dy (0.0000, 0.0000, 0.0000)
Ga (0.1322, 0.1322, 0.1322)
Ga (0.3994, 0.3994, 0.3994)
Ga (0.6006, 0.6006, 0.6006)
Ga (0.8678, 0.8678, 0.8678)
Ru (0.5000, 0.5000, 0.5000)
Rh (0.2395, 0.2395, 0.2395)
Rh (0.7605, 0.7605, 0.7605)

5.
Here is DyScGa2Rh2 after structural relaxation from Alexandria via LeMat-Bulk. Energies are from PBE.

- Space group: P-3m1 (164)
- DFT formation energy: -0.84 eV/atom
- Crystal system: trigonal

Lattice parameters (Å, degrees): 4.3902 4.3902 6.5844 90.00 90.00 120.00
Element x y z (fractional)
Dy (0.0000, 0.0000, 0.0000)
Sc (0.0000, 0.0000, 0.5000)
Ga (0.3333, 0.6667, 0.2777)
Ga (0.6667, 0.3333, 0.7223)
Rh (0.3333, 0.6667, 0.7039)
Rh (0.6667, 0.3333, 0.2961)

6.
Here is DySc2GaRh4 after structural relaxation from Alexandria via LeMat-Bulk. Energies are from PBE.

- Space group: R-3m (166)
- DFT formation energy: -0.91 eV/atom
- Crystal system: trigonal

Lattice parameters (Å, degrees): 7.9424 7.9424 7.9424 33.35 33.35 33.35
Element x y z (fractional)
Dy (0.0000, 0.0000, 0.0000)
Sc (0.2429, 0.2429, 0.2429)
Sc (0.7571, 0.7571, 0.7571)
Ga (0.5000, 0.5000, 0.5000)
Rh (0.1268, 0.1268, 0.1268)
Rh (0.3806, 0.3806, 0.3806)
Rh (0.6194, 0.6194, 0.6194)
Rh (0.8732, 0.8732, 0.8732)

7.
Here is DyScGaRh after structural relaxation from Alexandria via LeMat-Bulk. Energies are from PBE.

- Space group: F-43m (216)
- DFT formation energy: -0.70 eV/atom
- Crystal system: cubic

Lattice parameters (Å, degrees): 4.8222 4.8222 4.8222 60.00 60.00 60.00
Element x y z (fractional)
Dy (0.0000, 0.0000, 0.0000)
Sc (0.5000, 0.5000, 0.5000)
Ga (0.7500, 0.7500, 0.7500)
Rh (0.2500, 0.2500, 0.2500)

8.
Here is Dy2GaSi2Rh5 after structural relaxation from Alexandria via LeMat-Bulk. Energies are from PBE.

- Space group: P4/mbm (127)
- Uncorrected formation energy: -9.596 eV/f.u.
- Crystal system: tetragonal

Lattice parameters (Å, degrees): 9.7148 9.7148 3.4597 90.00 90.00 90.00
Element x y z (fractional)
Dy (0.1748, 0.3252, 0.0000)
Dy (0.3252, 0.8252, 0.0000)
Dy (0.6748, 0.1748, 0.0000)
Dy (0.8252, 0.6748, 0.0000)
Ga (0.0000, 0.0000, 0.0000)
Ga (0.5000, 0.5000, 0.0000)
Si (0.1238, 0.6238, 0.0000)
Si (0.3762, 0.1238, 0.0000)
Si (0.6238, 0.8762, 0.0000)
Si (0.8762, 0.3762, 0.0000)
Rh (0.0000, 0.5000, 0.5000)
Rh (0.0682, 0.7890, 0.5000)
Rh (0.2110, 0.0682, 0.5000)
Rh (0.2890, 0.5682, 0.5000)
Rh (0.4318, 0.2890, 0.5000)
Rh (0.5000, 0.0000, 0.5000)
Rh (0.5682, 0.7110, 0.5000)
Rh (0.7110, 0.4318, 0.5000)
Rh (0.7890, 0.9318, 0.5000)
Rh (0.9318, 0.2110, 0.5000)

For reference, DFT total energy by record: -6.61 -5.38 -6.08 -5.72 -6.12 -7.13 -6.03 -6.94 eV/atom.
For reference, total magnetization by record: 0.00 0.00 0.00 0.00 0.00 0.00 0.00 0.00 μB per formula unit.
For reference, V by record: 66.7 352.5 90.7 132.3 109.9 134.8 79.3 326.5 Å³/cell.